1.
MgInW2C: optimized geometry, PBEsol.

Output
energy of formation from the pure elements: 2.66 eV per atom

a b c (Å): 4.7951 4.7951 3.7328
angles (deg): 90.00 90.00 90.00
Closest atoms and distances in Å follow each position.
Atoms (fractional coordinates):
Mg: 0.0000 0.0000 0.0000  2 C 1.87
In: 0.5000 0.5000 0.5000  8 W 3.04, 4 C 3.39
W: 0.0000 0.5000 0.0000  2 Mg 2.40
W: 0.5000 0.0000 0.0000  2 Mg 2.40
C: 0.0000 0.0000 0.5000  2 Mg 1.87

2.
LiMnSe2: optimized geometry, PBEsol.

Output
raw total energy: -0.1985 Ha/atom

a b c (Å): 6.7976 6.7976 6.7976
angles (deg): 129.34 129.34 74.46
Closest atoms and distances in Å follow each position.
Atoms (fractional coordinates):
Li: 0.0000 0.0000 0.0000  4 Se 2.55
Li: 0.7500 0.2500 0.5000  4 Se 2.55
Mn: 0.2500 0.7500 0.5000  4 Se 2.38
Mn: 0.5000 0.5000 0.0000  4 Se 2.38
Se: 0.1488 0.6250 0.0238  2 Mn 2.38, 2 Li 2.55
Se: 0.3750 0.3988 0.5238  2 Mn 2.38, 2 Li 2.55
Se: 0.6012 0.1250 0.9762  2 Mn 2.38, 2 Li 2.55
Se: 0.8750 0.8512 0.4762  2 Mn 2.38, 2 Li 2.55

3.
CsIn2Au2: optimized geometry, PBEsol.

Output
energy of formation from the pure elements: -0.20 eV per atom

a b c (Å): 6.7462 6.7462 6.7462
angles (deg): 138.15 138.15 60.67
Closest atoms and distances in Å follow each position.
Atoms (fractional coordinates):
Cs: 0.0000 0.0000 0.0000  8 Au 3.69, 8 In 3.78
In: 0.2500 0.7500 0.5000  4 Au 2.84
In: 0.7500 0.2500 0.5000  4 Au 2.84
Au: 0.3794 0.3794 0.0000  1 Au 2.81, 4 In 2.84
Au: 0.6206 0.6206 0.0000  1 Au 2.81, 4 In 2.84

4.
Na2CaOsPd: optimized geometry, PBEsol.

Output
energy of formation from the pure elements: 1.69 eV per atom

a b c (Å): 4.9452 4.9452 4.7217
angles (deg): 90.00 90.00 90.00
Closest atoms and distances in Å follow each position.
Atoms (fractional coordinates):
Na: 0.0000 0.5000 0.0000  2 Ca 2.47
Na: 0.5000 0.0000 0.0000  2 Ca 2.47
Ca: 0.0000 0.0000 0.0000  2 Os 2.36, 4 Na 2.47
Os: 0.0000 0.0000 0.5000  2 Ca 2.36
Pd: 0.5000 0.5000 0.5000  8 Na 3.42, 4 Os 3.50